# MnMo2Pb, optimized geometry, DFT PBE
# Formation energy: 0.51 eV/atom
# N(E_F): 3.18 states/eV/f.u.
# V: 17.8 A^3/atom
# Theoretical density: 10.6 g cm⁻³
data_MnMo2Pb
_chemical_formula_sum 'Mn1 Mo2 Pb1'
_cell_length_a 3.362
_cell_length_b 3.375
_cell_length_c 6.274
_cell_angle_alpha 90.00
_cell_angle_beta 90.00
_cell_angle_gamma 90.00
_symmetry_space_group_name_H-M 'P m m m'
_symmetry_Int_Tables_number 47
loop_
_symmetry_equiv_pos_as_xyz
'x,y,z'
'-x,-y,-z'
'-x,-y,z'
'x,y,-z'
'x,-y,-z'
'-x,y,z'
'-x,y,-z'
'x,-y,z'
loop_
_atom_site_label
_atom_site_type_symbol
_atom_site_fract_x
_atom_site_fract_y
_atom_site_fract_z
Mn1 Mn 0.000 0.000 0.000
Mo1 Mo 0.500 0.500 0.190
Pb1 Pb 0.000 0.000 0.500

---

# MnMo2Pb, optimized geometry, DFT PBE
# Formation energy: 0.47 eV/atom
# N(E_F): 2.77 states/eV/f.u.
# V: 16.8 A^3/atom
# Theoretical density: 11.2 g cm⁻³
data_MnMo2Pb
_chemical_formula_sum 'Mn2 Mo4 Pb2'
_cell_length_a 3.424
_cell_length_b 4.347
_cell_length_c 9.013
_cell_angle_alpha 90.00
_cell_angle_beta 90.00
_cell_angle_gamma 90.00
_symmetry_space_group_name_H-M 'I m m m'
_symmetry_Int_Tables_number 71
_symmetry_space_group_name_Hall '-I 2 2'
loop_
_atom_site_label
_atom_site_type_symbol
_atom_site_fract_x
_atom_site_fract_y
_atom_site_fract_z
Mn1 Mn 0.000 0.000 0.000
Mo1 Mo 0.000 0.500 0.260
Pb1 Pb 0.000 0.000 0.500

---

# MnMo2Pb, optimized geometry, DFT PBE
# Formation energy: 0.53 eV/atom
# N(E_F): 2.64 states/eV/f.u.
# V: 16.9 A^3/atom
# Theoretical density: 11.1 g cm⁻³
data_MnMo2Pb
_chemical_formula_sum 'Mn1 Mo2 Pb1'
_cell_length_a 3.951
_cell_length_b 3.951
_cell_length_c 4.341
_cell_angle_alpha 90.00
_cell_angle_beta 90.00
_cell_angle_gamma 90.00
_symmetry_space_group_name_H-M 'P 4/m m m'
_symmetry_Int_Tables_number 123
_symmetry_space_group_name_Hall '-P 4 2'
loop_
_atom_site_label
_atom_site_type_symbol
_atom_site_fract_x
_atom_site_fract_y
_atom_site_fract_z
Mn1 Mn 0.000 0.000 0.000
Mo1 Mo 0.000 0.500 0.500
Pb1 Pb 0.500 0.500 0.000

---

# Mn2MoPb, optimized geometry, DFT PBE
# Formation energy: 0.51 eV/atom
# N(E_F): 3.57 states/eV/f.u.
# V: 16.2 A^3/atom
# Theoretical density: 10.6 g cm⁻³
data_Mn2MoPb
_chemical_formula_sum 'Mn4 Mo2 Pb2'
_cell_length_a 4.135
_cell_length_b 4.135
_cell_length_c 7.588
_cell_angle_alpha 90.00
_cell_angle_beta 90.00
_cell_angle_gamma 90.00
_symmetry_space_group_name_H-M 'I 4/m m m'
_symmetry_Int_Tables_number 139
_symmetry_space_group_name_Hall '-I 4 2'
loop_
_atom_site_label
_atom_site_type_symbol
_atom_site_fract_x
_atom_site_fract_y
_atom_site_fract_z
Mn1 Mn 0.000 0.500 0.250
Mo1 Mo 0.000 0.000 0.000
Pb1 Pb 0.000 0.000 0.500

---

Q: Among the records above, which one has the lowest formation energy?
A: number 2

---

Q: Which value of N(E_F) does entry 4 give?
A: 3.57 states/eV/f.u.

---

Copy entry 3 word for word.
# MnMo2Pb, optimized geometry, DFT PBE
# Formation energy: 0.53 eV/atom
# N(E_F): 2.64 states/eV/f.u.
# V: 16.9 A^3/atom
# Theoretical density: 11.1 g cm⁻³
data_MnMo2Pb
_chemical_formula_sum 'Mn1 Mo2 Pb1'
_cell_length_a 3.951
_cell_length_b 3.951
_cell_length_c 4.341
_cell_angle_alpha 90.00
_cell_angle_beta 90.00
_cell_angle_gamma 90.00
_symmetry_space_group_name_H-M 'P 4/m m m'
_symmetry_Int_Tables_number 123
_symmetry_space_group_name_Hall '-P 4 2'
loop_
_atom_site_label
_atom_site_type_symbol
_atom_site_fract_x
_atom_site_fract_y
_atom_site_fract_z
Mn1 Mn 0.000 0.000 0.000
Mo1 Mo 0.000 0.500 0.500
Pb1 Pb 0.500 0.500 0.000

---

Q: What is the formula in the third record?
A: MnMo2Pb